<a>
# BiTe3Se | Alexandria | PBE | relaxed
# SG   No. 221
# Calculated density   5.3 g/cm3
data_BiTe3Se
_chemical_formula_sum 'Bi1 Te3 Se1'
_space_group_name_H-M_alt 'P 1'
_space_group_IT_number 1
_cell_length_a 5.931
_cell_length_b 5.931
_cell_length_c 5.931
_cell_angle_alpha 90.00
_cell_angle_beta 90.00
_cell_angle_gamma 90.00
loop_
_space_group_symop_operation_xyz
'x,y,z'
loop_
_atom_site_label
_atom_site_type_symbol
_atom_site_fract_x
_atom_site_fract_y
_atom_site_fract_z
Bi1 Bi 0.000 0.000 0.000
Te1 Te 0.000 0.000 0.500
Te2 Te 0.000 0.500 0.000
Te3 Te 0.500 0.000 0.000
Se1 Se 0.500 0.500 0.500

***

<b>
# BiTe3Se | Alexandria | PBE | relaxed
# SG   No. 221
# Calculated density   6.8 g/cm3
data_BiTe3Se
_chemical_formula_sum 'Bi1 Te3 Se1'
_space_group_name_H-M_alt 'P 1'
_space_group_IT_number 1
_cell_length_a 5.463
_cell_length_b 5.463
_cell_length_c 5.463
_cell_angle_alpha 90.00
_cell_angle_beta 90.00
_cell_angle_gamma 90.00
loop_
_space_group_symop_operation_xyz
'x,y,z'
loop_
_atom_site_label
_atom_site_type_symbol
_atom_site_fract_x
_atom_site_fract_y
_atom_site_fract_z
Bi1 Bi 0.000 0.000 0.000
Te1 Te 0.000 0.500 0.500
Te2 Te 0.500 0.000 0.500
Te3 Te 0.500 0.500 0.000
Se1 Se 0.500 0.500 0.500

***

In terms of stability, <b> leads; the second structure lies 40.5 kJ/mol of atoms higher.

***

<a>
# Bi3TeSe3 | Alexandria | PBE | relaxed
# SG   No. 11
# Calculated density   7.0 g/cm3
data_Bi3TeSe3
_chemical_formula_sum 'Bi6 Te2 Se6'
_space_group_name_H-M_alt 'P 1'
_space_group_IT_number 1
_cell_length_a 9.251
_cell_length_b 4.198
_cell_length_c 12.152
_cell_angle_alpha 90.00
_cell_angle_beta 90.75
_cell_angle_gamma 90.00
loop_
_space_group_symop_operation_xyz
'x,y,z'
loop_
_atom_site_label
_atom_site_type_symbol
_atom_site_fract_x
_atom_site_fract_y
_atom_site_fract_z
Bi1 Bi 0.117 0.250 0.138
Bi2 Bi 0.352 0.750 0.386
Bi3 Bi 0.352 0.750 0.853
Bi4 Bi 0.648 0.250 0.147
Bi5 Bi 0.648 0.250 0.614
Bi6 Bi 0.883 0.750 0.862
Te1 Te 0.380 0.750 0.122
Te2 Te 0.620 0.250 0.878
Se1 Se 0.122 0.250 0.875
Se2 Se 0.135 0.250 0.369
Se3 Se 0.411 0.750 0.624
Se4 Se 0.589 0.250 0.376
Se5 Se 0.865 0.750 0.631
Se6 Se 0.878 0.750 0.125

***

<b>
# Bi3TeSe3 | Alexandria | PBE | relaxed
# SG   No. 11
# Calculated density   5.7 g/cm3
data_Bi3TeSe3
_chemical_formula_sum 'Bi6 Te2 Se6'
_space_group_name_H-M_alt 'P 1'
_space_group_IT_number 1
_cell_length_a 10.315
_cell_length_b 6.219
_cell_length_c 10.316
_cell_angle_alpha 90.00
_cell_angle_beta 119.89
_cell_angle_gamma 90.00
loop_
_space_group_symop_operation_xyz
'x,y,z'
loop_
_atom_site_label
_atom_site_type_symbol
_atom_site_fract_x
_atom_site_fract_y
_atom_site_fract_z
Bi1 Bi 0.161 0.250 0.338
Bi2 Bi 0.162 0.250 0.823
Bi3 Bi 0.323 0.750 0.661
Bi4 Bi 0.677 0.250 0.339
Bi5 Bi 0.838 0.750 0.177
Bi6 Bi 0.839 0.750 0.662
Te1 Te 0.333 0.250 0.167
Te2 Te 0.667 0.750 0.833
Se1 Se 0.155 0.750 0.343
Se2 Se 0.158 0.750 0.813
Se3 Se 0.313 0.250 0.656
Se4 Se 0.687 0.750 0.344
Se5 Se 0.842 0.250 0.187
Se6 Se 0.845 0.250 0.657

***

In terms of stability, <a> leads; the second structure lies 12.9 kJ/mol of atoms higher.

***

<a>
# BiTeSe2 | Alexandria | PBE | relaxed
# SG   No. 166
# Calculated density   6.8 g/cm3
data_BiTeSe2
_chemical_formula_sum 'Bi1 Te1 Se2'
_space_group_name_H-M_alt 'P 1'
_space_group_IT_number 1
_cell_length_a 9.882
_cell_length_b 9.882
_cell_length_c 9.882
_cell_angle_alpha 22.27
_cell_angle_beta 22.27
_cell_angle_gamma 22.27
loop_
_space_group_symop_operation_xyz
'x,y,z'
loop_
_atom_site_label
_atom_site_type_symbol
_atom_site_fract_x
_atom_site_fract_y
_atom_site_fract_z
Bi1 Bi 0.000 0.000 0.000
Te1 Te 0.500 0.500 0.500
Se1 Se 0.102 0.102 0.102
Se2 Se 0.898 0.898 0.898

***

<b>
# BiTeSe2 | Alexandria | PBE | relaxed
# SG   No. 166
# Calculated density   6.2 g/cm3
data_BiTeSe2
_chemical_formula_sum 'Bi1 Te1 Se2'
_space_group_name_H-M_alt 'P 1'
_space_group_IT_number 1
_cell_length_a 9.292
_cell_length_b 9.292
_cell_length_c 9.292
_cell_angle_alpha 25.67
_cell_angle_beta 25.67
_cell_angle_gamma 25.67
loop_
_space_group_symop_operation_xyz
'x,y,z'
loop_
_atom_site_label
_atom_site_type_symbol
_atom_site_fract_x
_atom_site_fract_y
_atom_site_fract_z
Bi1 Bi 0.000 0.000 0.000
Te1 Te 0.500 0.500 0.500
Se1 Se 0.398 0.398 0.398
Se2 Se 0.602 0.602 0.602

***

<c>
# BiTeSe2 | Alexandria | PBE | relaxed
# SG   No. 122
# Calculated density   7.2 g/cm3
data_BiTeSe2
_chemical_formula_sum 'Bi2 Te2 Se4'
_space_group_name_H-M_alt 'P 1'
_space_group_IT_number 1
_cell_length_a 6.683
_cell_length_b 6.683
_cell_length_c 6.683
_cell_angle_alpha 107.26
_cell_angle_beta 107.26
_cell_angle_gamma 113.99
loop_
_space_group_symop_operation_xyz
'x,y,z'
loop_
_atom_site_label
_atom_site_type_symbol
_atom_site_fract_x
_atom_site_fract_y
_atom_site_fract_z
Bi1 Bi 0.000 0.000 0.000
Bi2 Bi 0.750 0.250 0.500
Te1 Te 0.250 0.750 0.500
Te2 Te 0.500 0.500 0.000
Se1 Se 0.125 0.625 0.000
Se2 Se 0.375 0.375 0.500
Se3 Se 0.625 0.125 0.000
Se4 Se 0.875 0.875 0.500

***

<d>
# BiTeSe2 | Alexandria | PBE | relaxed
# SG   No. 225
# Calculated density   8.2 g/cm3
data_BiTeSe2
_chemical_formula_sum 'Bi1 Te1 Se2'
_space_group_name_H-M_alt 'P 1'
_space_group_IT_number 1
_cell_length_a 5.211
_cell_length_b 5.211
_cell_length_c 5.211
_cell_angle_alpha 60.00
_cell_angle_beta 60.00
_cell_angle_gamma 60.00
loop_
_space_group_symop_operation_xyz
'x,y,z'
loop_
_atom_site_label
_atom_site_type_symbol
_atom_site_fract_x
_atom_site_fract_y
_atom_site_fract_z
Bi1 Bi 0.000 0.000 0.000
Te1 Te 0.500 0.500 0.500
Se1 Se 0.250 0.250 0.250
Se2 Se 0.750 0.750 0.750

***

In terms of stability, <b> leads; the second structure lies 10.8 kJ/mol of atoms higher.

***

<a>
# Bi3Te2Se2 | Alexandria | PBE | relaxed
# SG   No. 12
# Calculated density   6.8 g/cm3
data_Bi3Te2Se2
_chemical_formula_sum 'Bi3 Te2 Se2'
_space_group_name_H-M_alt 'P 1'
_space_group_IT_number 1
_cell_length_a 8.657
_cell_length_b 8.657
_cell_length_c 7.690
_cell_angle_alpha 115.24
_cell_angle_beta 115.24
_cell_angle_gamma 29.25
loop_
_space_group_symop_operation_xyz
'x,y,z'
loop_
_atom_site_label
_atom_site_type_symbol
_atom_site_fract_x
_atom_site_fract_y
_atom_site_fract_z
Bi1 Bi 0.000 0.000 0.000
Bi2 Bi 0.260 0.260 0.235
Bi3 Bi 0.740 0.740 0.765
Te1 Te 0.375 0.375 0.712
Te2 Te 0.625 0.625 0.288
Se1 Se 0.138 0.138 0.830
Se2 Se 0.862 0.862 0.170

***

<b>
# Bi3Te2Se2 | Alexandria | PBE | relaxed
# SG   No. 12
# Calculated density   7.1 g/cm3
data_Bi3Te2Se2
_chemical_formula_sum 'Bi3 Te2 Se2'
_space_group_name_H-M_alt 'P 1'
_space_group_IT_number 1
_cell_length_a 7.498
_cell_length_b 7.498
_cell_length_c 7.678
_cell_angle_alpha 94.86
_cell_angle_beta 94.86
_cell_angle_gamma 34.20
loop_
_space_group_symop_operation_xyz
'x,y,z'
loop_
_atom_site_label
_atom_site_type_symbol
_atom_site_fract_x
_atom_site_fract_y
_atom_site_fract_z
Bi1 Bi 0.000 0.000 0.000
Bi2 Bi 0.256 0.256 0.752
Bi3 Bi 0.744 0.744 0.248
Te1 Te 0.120 0.120 0.379
Te2 Te 0.880 0.880 0.621
Se1 Se 0.370 0.370 0.088
Se2 Se 0.630 0.630 0.912

***

In terms of stability, <b> leads; the second structure lies 3.2 kJ/mol of atoms higher.